A plane-wave DFT calculation with PBE-GGA was carried out for a relaxed structure of BaNaPt.

Properties
Energy above the most stable polymorph in this dataset (meV/atom): 403
Magnetization (μB/f.u.): 0.178

```
data_BaNaPt
_chemical_formula_sum 'Ba1 Na1 Pt1'
_cell_length_a 5.209
_cell_length_b 5.209
_cell_length_c 5.209
_cell_angle_alpha 60.00
_cell_angle_beta 60.00
_cell_angle_gamma 60.00
_space_group_name_H-M_alt 'P 1'
_space_group_IT_number 1
loop_
_space_group_symop_operation_xyz
'x,y,z'
loop_
_atom_site_label
_atom_site_fract_x
_atom_site_fract_y
_atom_site_fract_z
_atom_site_occupancy
Ba1 0.000 0.000 0.000 1
Na1 0.750 0.750 0.750 1
Pt1 0.250 0.250 0.250 1
```

***

A plane-wave DFT calculation with PBE-GGA was carried out for a relaxed structure of Lu2BiAu.

Properties
Magnetization (μB/f.u.): 0.001

```
data_Lu2BiAu
_chemical_formula_sum 'Lu2 Bi1 Au1'
_cell_length_a 5.272
_cell_length_b 5.272
_cell_length_c 5.272
_cell_angle_alpha 60.00
_cell_angle_beta 60.00
_cell_angle_gamma 60.00
_space_group_name_H-M_alt 'P 1'
_space_group_IT_number 1
loop_
_space_group_symop_operation_xyz
'x,y,z'
loop_
_atom_site_label
_atom_site_fract_x
_atom_site_fract_y
_atom_site_fract_z
_atom_site_occupancy
Lu1 0.000 0.000 0.000 1
Lu2 0.250 0.250 0.250 1
Bi1 0.500 0.500 0.500 1
Au1 0.750 0.750 0.750 1
```

***

A plane-wave DFT calculation with PBE-GGA was carried out for a relaxed structure of LuAlCuHg.

Properties
Energy above the most stable polymorph in this dataset (meV/atom): 124
Magnetization (μB/f.u.): 0.001

```
data_LuAlCuHg
_chemical_formula_sum 'Lu1 Al1 Cu1 Hg1'
_cell_length_a 4.758
_cell_length_b 4.758
_cell_length_c 4.758
_cell_angle_alpha 60.00
_cell_angle_beta 60.00
_cell_angle_gamma 60.00
_space_group_name_H-M_alt 'P 1'
_space_group_IT_number 1
loop_
_space_group_symop_operation_xyz
'x,y,z'
loop_
_atom_site_label
_atom_site_fract_x
_atom_site_fract_y
_atom_site_fract_z
_atom_site_occupancy
Lu1 0.000 0.000 0.000 1
Al1 0.250 0.250 0.250 1
Cu1 0.500 0.500 0.500 1
Hg1 0.750 0.750 0.750 1
```

***

A plane-wave DFT calculation with PBE-GGA was carried out for a relaxed structure of Tb2ErMg3Pt2Au.

Properties
Magnetization (μB/f.u.): 0.014

```
data_Tb2ErMg3Pt2Au
_chemical_formula_sum 'Tb2 Er1 Mg3 Pt2 Au1'
_cell_length_a 4.041
_cell_length_b 7.453
_cell_length_c 7.453
_cell_angle_alpha 119.86
_cell_angle_beta 90.00
_cell_angle_gamma 90.00
_space_group_name_H-M_alt 'P 1'
_space_group_IT_number 1
loop_
_space_group_symop_operation_xyz
'x,y,z'
loop_
_atom_site_label
_atom_site_fract_x
_atom_site_fract_y
_atom_site_fract_z
_atom_site_occupancy
Tb1 0.000 0.208 0.792 1
Tb2 0.000 0.792 0.208 1
Er1 0.000 0.376 0.376 1
Mg1 0.500 0.044 0.044 1
Mg2 0.500 0.541 0.790 1
Mg3 0.500 0.790 0.541 1
Pt1 0.500 0.128 0.458 1
Pt2 0.500 0.458 0.128 1
Au1 0.000 0.789 0.789 1
```

***

A plane-wave DFT calculation with PBE-GGA was carried out for a relaxed structure of AgW2.

Properties
Magnetization (μB/f.u.): 0.001
Energy of formation (meV/atom): 791

```
data_AgW2
_chemical_formula_sum 'Ag2 W4'
_cell_length_a 5.309
_cell_length_b 5.309
_cell_length_c 5.309
_cell_angle_alpha 60.00
_cell_angle_beta 60.00
_cell_angle_gamma 60.00
_space_group_name_H-M_alt 'P 1'
_space_group_IT_number 1
loop_
_space_group_symop_operation_xyz
'x,y,z'
loop_
_atom_site_label
_atom_site_fract_x
_atom_site_fract_y
_atom_site_fract_z
_atom_site_occupancy
Ag1 0.125 0.125 0.125 1
Ag2 0.875 0.875 0.875 1
W1 0.000 0.500 0.500 1
W2 0.500 0.000 0.500 1
W3 0.500 0.500 0.000 1
W4 0.500 0.500 0.500 1
```

***

A plane-wave DFT calculation with PBE-GGA was carried out for a relaxed structure of CdBiNO.

Properties
Energy above the most stable polymorph in this dataset (meV/atom): 263

```
data_CdBiNO
_chemical_formula_sum 'Cd2 Bi2 N2 O2'
_cell_length_a 3.903
_cell_length_b 3.903
_cell_length_c 8.235
_cell_angle_alpha 90.00
_cell_angle_beta 90.00
_cell_angle_gamma 90.00
_space_group_name_H-M_alt 'P 1'
_space_group_IT_number 1
loop_
_space_group_symop_operation_xyz
'x,y,z'
loop_
_atom_site_label
_atom_site_fract_x
_atom_site_fract_y
_atom_site_fract_z
_atom_site_occupancy
Cd1 0.250 0.750 0.000 1
Cd2 0.750 0.250 0.000 1
Bi1 0.250 0.250 0.346 1
Bi2 0.750 0.750 0.654 1
N1 0.250 0.250 0.831 1
N2 0.750 0.750 0.169 1
O1 0.250 0.750 0.500 1
O2 0.750 0.250 0.500 1
```

***

A plane-wave DFT calculation with PBE-GGA was carried out for a relaxed structure of Mg2ScZnCu4.

Properties
Magnetization (μB/f.u.): 0.003

```
data_Mg2ScZnCu4
_chemical_formula_sum 'Mg2 Sc1 Zn1 Cu4'
_cell_length_a 4.384
_cell_length_b 4.384
_cell_length_c 6.287
_cell_angle_alpha 90.00
_cell_angle_beta 90.00
_cell_angle_gamma 90.00
_space_group_name_H-M_alt 'P 1'
_space_group_IT_number 1
loop_
_space_group_symop_operation_xyz
'x,y,z'
loop_
_atom_site_label
_atom_site_fract_x
_atom_site_fract_y
_atom_site_fract_z
_atom_site_occupancy
Mg1 0.000 0.000 0.000 1
Mg2 0.500 0.500 0.500 1
Sc1 0.000 0.000 0.500 1
Zn1 0.500 0.500 0.000 1
Cu1 0.000 0.500 0.234 1
Cu2 0.000 0.500 0.766 1
Cu3 0.500 0.000 0.234 1
Cu4 0.500 0.000 0.766 1
```

***

A plane-wave DFT calculation with PBE-GGA was carried out for a relaxed structure of Al7Ni5.

Properties
Energy above the most stable polymorph in this dataset (meV/atom): 0
Magnetization (μB/f.u.): 0.004

```
data_Al7Ni5
_chemical_formula_sum 'Al14 Ni10'
_cell_length_a 4.859
_cell_length_b 4.859
_cell_length_c 15.831
_cell_angle_alpha 90.00
_cell_angle_beta 90.00
_cell_angle_gamma 120.00
_space_group_name_H-M_alt 'P 1'
_space_group_IT_number 1
loop_
_space_group_symop_operation_xyz
'x,y,z'
loop_
_atom_site_label
_atom_site_fract_x
_atom_site_fract_y
_atom_site_fract_z
_atom_site_occupancy
Al1 0.000 0.000 0.081 1
Al2 0.000 0.000 0.419 1
Al3 0.000 0.000 0.581 1
Al4 0.000 0.000 0.919 1
Al5 0.166 0.332 0.250 1
Al6 0.166 0.834 0.250 1
Al7 0.332 0.166 0.750 1
Al8 0.333 0.667 0.635 1
Al9 0.333 0.667 0.865 1
Al10 0.667 0.333 0.135 1
Al11 0.667 0.333 0.365 1
Al12 0.668 0.834 0.250 1
Al13 0.834 0.166 0.750 1
Al14 0.834 0.668 0.750 1
Ni1 0.000 0.500 0.000 1
Ni2 0.000 0.500 0.500 1
Ni3 0.333 0.667 0.128 1
Ni4 0.333 0.667 0.372 1
Ni5 0.500 0.000 0.000 1
Ni6 0.500 0.000 0.500 1
Ni7 0.500 0.500 0.000 1
Ni8 0.500 0.500 0.500 1
Ni9 0.667 0.333 0.628 1
Ni10 0.667 0.333 0.872 1
```

***

A plane-wave DFT calculation with PBE-GGA was carried out for a relaxed structure of Li4InGaPt2.

Properties
Magnetization (μB/f.u.): 0.003

```
data_Li4InGaPt2
_chemical_formula_sum 'Li4 In1 Ga1 Pt2'
_cell_length_a 4.362
_cell_length_b 4.362
_cell_length_c 6.260
_cell_angle_alpha 90.00
_cell_angle_beta 90.00
_cell_angle_gamma 90.00
_space_group_name_H-M_alt 'P 1'
_space_group_IT_number 1
loop_
_space_group_symop_operation_xyz
'x,y,z'
loop_
_atom_site_label
_atom_site_fract_x
_atom_site_fract_y
_atom_site_fract_z
_atom_site_occupancy
Li1 0.000 0.000 0.000 1
Li2 0.000 0.500 0.731 1
Li3 0.500 0.000 0.269 1
Li4 0.500 0.500 0.500 1
In1 0.500 0.500 0.000 1
Ga1 0.000 0.000 0.500 1
Pt1 0.000 0.500 0.271 1
Pt2 0.500 0.000 0.729 1
```

***

A plane-wave DFT calculation with PBE-GGA was carried out for a relaxed structure of Hf3Sb4Pt4.

Properties
Energy above the most stable polymorph in this dataset (meV/atom): 0
Magnetization (μB/f.u.): 0.003

```
data_Hf3Sb4Pt4
_chemical_formula_sum 'Hf3 Sb4 Pt4'
_cell_length_a 7.717
_cell_length_b 7.717
_cell_length_c 7.717
_cell_angle_alpha 131.15
_cell_angle_beta 131.15
_cell_angle_gamma 71.58
_space_group_name_H-M_alt 'P 1'
_space_group_IT_number 1
loop_
_space_group_symop_operation_xyz
'x,y,z'
loop_
_atom_site_label
_atom_site_fract_x
_atom_site_fract_y
_atom_site_fract_z
_atom_site_occupancy
Hf1 0.000 0.000 0.000 1
Hf2 0.250 0.750 0.500 1
Hf3 0.750 0.250 0.500 1
Sb1 0.000 0.500 0.500 1
Sb2 0.267 0.267 0.000 1
Sb3 0.500 0.000 0.500 1
Sb4 0.733 0.733 0.000 1
Pt1 0.103 0.634 0.000 1
Pt2 0.366 0.366 0.469 1
Pt3 0.634 0.103 0.000 1
Pt4 0.897 0.897 0.531 1
```

***

A plane-wave DFT calculation with PBE-GGA was carried out for a relaxed structure of LuCoAgBi.

Properties
Energy above the most stable polymorph in this dataset (meV/atom): 0
Magnetization (μB/f.u.): 0.003

```
data_LuCoAgBi
_chemical_formula_sum 'Lu1 Co1 Ag1 Bi1'
_cell_length_a 4.815
_cell_length_b 4.815
_cell_length_c 4.815
_cell_angle_alpha 60.00
_cell_angle_beta 60.00
_cell_angle_gamma 60.00
_space_group_name_H-M_alt 'P 1'
_space_group_IT_number 1
loop_
_space_group_symop_operation_xyz
'x,y,z'
loop_
_atom_site_label
_atom_site_fract_x
_atom_site_fract_y
_atom_site_fract_z
_atom_site_occupancy
Lu1 0.000 0.000 0.000 1
Co1 0.750 0.750 0.750 1
Ag1 0.250 0.250 0.250 1
Bi1 0.500 0.500 0.500 1
```

***

A plane-wave DFT calculation with PBE-GGA was carried out for a relaxed structure of NaZrCuTe2Se.

Properties
Energy above the most stable polymorph in this dataset (meV/atom): 0
Magnetization (μB/f.u.): 0.007

```
data_NaZrCuTe2Se
_chemical_formula_sum 'Na4 Zr4 Cu4 Te8 Se4'
_cell_length_a 14.225
_cell_length_b 3.990
_cell_length_c 10.682
_cell_angle_alpha 90.00
_cell_angle_beta 90.00
_cell_angle_gamma 90.00
_space_group_name_H-M_alt 'P 1'
_space_group_IT_number 1
loop_
_space_group_symop_operation_xyz
'x,y,z'
loop_
_atom_site_label
_atom_site_fract_x
_atom_site_fract_y
_atom_site_fract_z
_atom_site_occupancy
Na1 0.242 0.250 0.049 1
Na2 0.258 0.750 0.549 1
Na3 0.742 0.250 0.451 1
Na4 0.758 0.750 0.951 1
Zr1 0.010 0.250 0.332 1
Zr2 0.490 0.750 0.832 1
Zr3 0.510 0.250 0.168 1
Zr4 0.990 0.750 0.668 1
Cu1 0.009 0.750 0.094 1
Cu2 0.491 0.250 0.594 1
Cu3 0.509 0.750 0.406 1
Cu4 0.991 0.250 0.906 1
Te1 0.111 0.750 0.880 1
Te2 0.148 0.750 0.254 1
Te3 0.352 0.250 0.754 1
Te4 0.389 0.250 0.380 1
Te5 0.611 0.750 0.620 1
Te6 0.648 0.750 0.246 1
Te7 0.852 0.250 0.746 1
Te8 0.889 0.250 0.120 1
Se1 0.097 0.250 0.566 1
Se2 0.403 0.750 0.066 1
Se3 0.597 0.250 0.934 1
Se4 0.903 0.750 0.434 1
```

***

Number 1: uncorrected energy -9.15 eV per cell. Number 2: uncorrected energy -16.81 eV per cell. Number 3: uncorrected energy -12.83 eV per cell. Number 4: uncorrected energy -41.68 eV per cell. Number 5: uncorrected energy -52.75 eV per cell. Number 6: uncorrected energy -35.86 eV per cell. Number 7: uncorrected energy -26.50 eV per cell. Number 8: uncorrected energy -113.37 eV per cell. Number 9: uncorrected energy -30.46 eV per cell. Number 10: uncorrected energy -80.11 eV per cell. Number 11: uncorrected energy -18.56 eV per cell. Number 12: uncorrected energy -113.89 eV per cell.